[1]
# LaY2Os

A relaxed LaY2Os crystal (PBE-GGA, Alexandria).

space group = P4mm
magnetic moment = 0.00 Bohr magnetons per cell
ΔH_f (0 K) = -0.003 eV per atom

Lattice parameters (Å, degrees): 3.4557 3.4557 9.6180 90.00 90.00 90.00
Fractional coordinates of all 4 atoms:
La1 0.0000 0.0000 0.0000
Y1 0.0000 0.0000 0.3577
Y2 0.5000 0.5000 0.6619
Os1 0.5000 0.5000 0.1857

[2]
# SiOsCl2

A relaxed SiOsCl2 crystal (PBE-GGA, Alexandria).

formation energy without anion corrections = 382 kJ/mol of formula units
space group = I-4m2
magnetic moment = 0.00 Bohr magnetons per cell

Lattice parameters (Å, degrees): 4.2602 4.2602 6.9995 90.00 90.00 90.00
Fractional coordinates of all 8 atoms:
Si1 0.0000 0.0000 0.0000
Si2 0.5000 0.5000 0.5000
Os1 0.0000 0.5000 0.2500
Os2 0.5000 0.0000 0.7500
Cl1 0.0000 0.0000 0.5000
Cl2 0.0000 0.5000 0.7500
Cl3 0.5000 0.0000 0.2500
Cl4 0.5000 0.5000 0.0000